Computed, not measured: a relaxed TlAuSeO crystal at the PBE level of DFT.

- raw total energy (eV per atom) = -3.82
- density (g/cm³) = 9.14

Lattice parameters (Å, degrees): 5.821 5.914 11.226 90.00 111.02 90.00
Fractional positions:
Au (0.685, 0.436, 0.488)
Se (0.840, 0.573, 0.323)
Tl (0.934, 0.393, 0.900)
O (0.751, 0.658, 0.000)
O (0.248, 0.648, 0.995)
Tl (0.561, 0.397, 0.100)
Au (0.838, 0.807, 0.669)
Tl (0.439, 0.897, 0.900)
Au (0.315, 0.936, 0.512)
Au (0.162, 0.307, 0.331)
O (0.752, 0.148, 0.005)
Se (0.430, 0.988, 0.319)
Se (0.570, 0.488, 0.681)
Se (0.160, 0.073, 0.677)
Tl (0.066, 0.893, 0.100)
O (0.249, 0.158, 0.000)


Computed, not measured: a relaxed CdIr2Se4 crystal at the PBE level of DFT.

- raw total energy (eV per atom) = -5.02
- density (g/cm³) = 8.52
- magnetic moment (μB per atom) = 0.000

Lattice parameters (Å, degrees): 7.648 7.648 7.648 119.91 119.91 90.15
Fractional positions:
Ir (0.375, 0.125, 0.250)
Se (0.643, 0.356, 0.712)
Cd (0.250, 0.750, 0.500)
Se (0.069, 0.357, 0.712)
Ir (0.875, 0.625, 0.750)
Se (0.681, 0.893, 0.788)
Se (0.643, 0.931, 0.288)
Ir (0.875, 0.125, 0.250)
Cd (0.500, 0.500, 0.000)
Se (0.106, 0.893, 0.212)
Ir (0.875, 0.125, 0.750)
Se (0.644, 0.357, 0.288)
Se (0.107, 0.894, 0.788)
Se (0.107, 0.319, 0.212)


Computed, not measured: a relaxed Nd3Si4Ir crystal at the PBE level of DFT.

- raw total energy (eV per atom) = -6.26
- density (g/cm³) = 7.08
- magnetic moment (μB per atom) = 0.000

Lattice parameters (Å, degrees): 5.872 3.934 7.586 90.00 99.27 90.00
Fractional positions:
Nd (0.641, 0.500, 0.822)
Si (0.335, 0.500, 0.432)
Ir (0.314, 0.000, 0.233)
Nd (0.133, 0.000, 0.670)
Si (0.208, 0.500, 0.011)
Si (0.604, 0.000, 0.518)
Si (0.951, 0.000, 0.025)
Nd (0.815, 0.500, 0.290)


Computed, not measured: a relaxed La4Au2O9 crystal at the PBE level of DFT.

- raw total energy (eV per atom) = -7.14
- density (g/cm³) = 7.89
- magnetic moment (μB per atom) = 0.000

Lattice parameters (Å, degrees): 12.103 6.290 12.093 90.00 90.00 90.00
Fractional positions:
La (0.159, 0.300, 0.264)
O (0.000, 0.477, 0.750)
La (0.011, 0.743, 0.090)
La (0.659, 0.200, 0.736)
O (0.802, 0.378, 0.842)
O (0.384, 0.944, 0.447)
O (0.837, 0.943, 0.146)
Au (0.271, 0.422, 0.511)
O (0.884, 0.444, 0.053)
O (0.000, 0.523, 0.250)
La (0.341, 0.200, 0.764)
Au (0.771, 0.922, 0.989)
O (0.578, 0.389, 0.912)
La (0.989, 0.257, 0.910)
O (0.616, 0.056, 0.553)
La (0.489, 0.243, 0.090)
La (0.489, 0.757, 0.590)
O (0.078, 0.111, 0.088)
O (0.500, 0.977, 0.750)
Au (0.229, 0.922, 0.511)
O (0.302, 0.122, 0.158)
O (0.663, 0.443, 0.146)
La (0.159, 0.700, 0.764)
La (0.011, 0.257, 0.590)
La (0.659, 0.800, 0.236)
O (0.837, 0.057, 0.646)
La (0.841, 0.700, 0.736)
La (0.511, 0.757, 0.910)
O (0.163, 0.057, 0.854)
O (0.698, 0.878, 0.842)
O (0.116, 0.556, 0.947)
O (0.884, 0.556, 0.553)
O (0.337, 0.557, 0.854)
Au (0.729, 0.578, 0.489)
O (0.422, 0.611, 0.088)
O (0.337, 0.443, 0.354)
La (0.511, 0.243, 0.410)
O (0.078, 0.889, 0.588)
O (0.163, 0.943, 0.354)
Au (0.229, 0.078, 0.011)
O (0.922, 0.889, 0.912)
O (0.616, 0.944, 0.053)
O (0.578, 0.611, 0.412)
O (0.500, 0.023, 0.250)
O (0.384, 0.056, 0.947)
O (0.198, 0.622, 0.158)
Au (0.271, 0.578, 0.011)
La (0.841, 0.300, 0.236)
O (0.802, 0.622, 0.342)
O (0.922, 0.111, 0.412)
O (0.698, 0.122, 0.342)
O (0.302, 0.878, 0.658)
Au (0.729, 0.422, 0.989)
O (0.422, 0.389, 0.588)
O (0.116, 0.444, 0.447)
O (0.663, 0.557, 0.646)
O (0.198, 0.378, 0.658)
Au (0.771, 0.078, 0.489)
La (0.341, 0.800, 0.264)
La (0.989, 0.743, 0.410)


Computed, not measured: a relaxed SmSiSnPt2 crystal at the PBE level of DFT.

- raw total energy (eV per atom) = -6.24
- density (g/cm³) = 11.47
- magnetic moment (μB per atom) = 0.000

Lattice parameters (Å, degrees): 4.298 4.298 10.775 90.00 90.00 90.00
Fractional positions:
Si (0.000, 0.500, 0.118)
Si (0.500, 0.000, 0.882)
Sm (0.000, 0.500, 0.771)
Sm (0.500, 0.000, 0.229)
Sn (0.500, 0.500, 0.500)
Pt (0.000, 0.000, 0.000)
Sn (0.000, 0.000, 0.500)
Pt (0.500, 0.500, 0.000)
Pt (0.000, 0.500, 0.335)
Pt (0.500, 0.000, 0.665)


Computed, not measured: a relaxed RbTeMo crystal at the PBE level of DFT.

- raw total energy (eV per atom) = -4.15
- density (g/cm³) = 4.85
- magnetic moment (μB per atom) = 1.667

Lattice parameters (Å, degrees): 5.309 5.309 5.309 60.00 60.00 60.00
Fractional positions:
Te (0.750, 0.750, 0.750)
Mo (0.000, 0.000, 0.000)
Rb (0.250, 0.250, 0.250)


Computed, not measured: a relaxed LiTmAs crystal at the PBE level of DFT.

- raw total energy (eV per atom) = -4.52
- density (g/cm³) = 6.35
- magnetic moment (μB per atom) = 0.001

Lattice parameters (Å, degrees): 4.528 4.528 4.528 60.00 60.00 60.00
Fractional positions:
Tm (0.750, 0.750, 0.750)
Li (0.250, 0.250, 0.250)
As (0.000, 0.000, 0.000)


Computed, not measured: a relaxed Cu14Te crystal at the PBE level of DFT.

- raw total energy (eV per atom) = -3.62
- density (g/cm³) = 4.95

Lattice parameters (Å, degrees): 6.712 6.712 29.159 90.15 90.15 31.27
Fractional positions:
Cu (0.327, 0.327, 0.838)
Cu (0.827, 0.827, 0.060)
Cu (0.059, 0.059, 0.128)
Cu (0.019, 0.019, 0.043)
Cu (0.557, 0.557, 0.906)
Cu (0.097, 0.097, 0.771)
Cu (0.596, 0.596, 0.992)
Cu (0.635, 0.635, 0.077)
Cu (0.443, 0.443, 0.094)
Cu (0.404, 0.404, 0.008)
Cu (0.749, 0.749, 0.889)
Cu (0.173, 0.173, 0.940)
Cu (0.518, 0.518, 0.820)
Cu (0.365, 0.365, 0.923)
Te (0.711, 0.711, 0.259)
Cu (0.981, 0.981, 0.957)
Cu (0.288, 0.288, 0.197)
Cu (0.941, 0.941, 0.872)
Cu (0.133, 0.133, 0.855)
Cu (0.093, 0.093, 0.215)
Cu (0.712, 0.712, 0.803)
Cu (0.867, 0.867, 0.145)
Cu (0.212, 0.212, 0.026)
Cu (0.903, 0.903, 0.229)
Cu (0.251, 0.251, 0.111)
Cu (0.907, 0.907, 0.785)
Cu (0.482, 0.482, 0.180)
Cu (0.673, 0.673, 0.162)
Te (0.289, 0.289, 0.741)
Cu (0.788, 0.788, 0.974)


What is the formula in the seventh record? LiTmAs